Rb2CeSe3: relaxed, PBE. Values from VASP.

**V**: 419.78 Å³/cell
**Crystal system**: monoclinic
**Symmetry**: C2/m (12)
**Formation energy from raw total energies**: -1.491 eV/atom

Cell and atoms, written as Quantum ESPRESSO input:
```
&SYSTEM
  ibrav = 0, nat = 12, ntyp = 3
/
ATOMIC_SPECIES
Se 78.96 Se.upf
Rb 85.47 Rb.upf
Ce 140.12 Ce.upf
ATOMIC_POSITIONS crystal
Se 0.264 0.215 0.799
Rb 0.833 0.167 0.500
Se 0.646 0.980 0.802
Se 0.785 0.736 0.201
Ce 0.666 0.334 0.000
Rb 0.333 0.667 0.000
Ce 0.001 0.999 0.000
Se 0.402 0.118 0.201
Rb 0.179 0.821 0.500
Rb 0.487 0.513 0.500
Se 0.882 0.598 0.799
Se 0.020 0.354 0.198
CELL_PARAMETERS angstrom
7.692 -0.028 -1.303
-4.148 6.478 -1.303
0.069 0.125 8.395
```

MgMnSe2N: relaxed, PBE. Values from VASP.

**V**: 104.41 Å³/cell
**Density of states at the Fermi level**: 3.21 states/eV/cell
**Crystal system**: tetragonal
**Symmetry**: P4/mmm (123)
**Distance to the lowest polymorph of the same formula**: 806 meV/atom
**Formation energy from raw total energies**: 0.637 eV/atom

Cell and atoms, written as Quantum ESPRESSO input:
```
&SYSTEM
  ibrav = 0, nat = 5, ntyp = 4
/
ATOMIC_SPECIES
N 14.01 N.upf
Mg 24.30 Mg.upf
Mn 54.94 Mn.upf
Se 78.96 Se.upf
ATOMIC_POSITIONS crystal
N 0.000 0.000 0.500
Mg 0.000 0.000 0.000
Mn 0.500 0.500 0.500
Se 0.000 0.500 0.000
Se 0.500 0.000 0.000
CELL_PARAMETERS angstrom
5.140 0.000 0.000
0.000 5.140 0.000
0.000 0.000 3.951
```

Sr2Cu3: relaxed, PBE. Values from VASP.

**V**: 128.68 Å³/cell
**Density of states at the Fermi level**: 3.28 states/eV/cell
**Crystal system**: trigonal
**E_form**: -0.40 kJ per mole of atoms
**Symmetry**: R-3m (166)

Cell and atoms, written as Quantum ESPRESSO input:
```
&SYSTEM
  ibrav = 0, nat = 5, ntyp = 2
/
ATOMIC_SPECIES
Cu 63.55 Cu.upf
Sr 87.62 Sr.upf
ATOMIC_POSITIONS crystal
Cu 0.000 0.000 0.000
Cu 0.835 0.835 0.835
Sr 0.587 0.587 0.587
Cu 0.165 0.165 0.165
Sr 0.413 0.413 0.413
CELL_PARAMETERS angstrom
8.124 -0.104 -0.063
6.994 4.135 -0.063
6.994 1.865 3.691
```

DyMg15In4: relaxed, PBE. Values from VASP.

**V**: 465.48 Å³/cell
**Density of states at the Fermi level**: 10.40 states/eV/cell
**Crystal system**: tetragonal
**E_form**: -6.37 kJ per mole of atoms
**Symmetry**: P4/mmm (123)

Cell and atoms, written as Quantum ESPRESSO input:
```
&SYSTEM
  ibrav = 0, nat = 20, ntyp = 3
/
ATOMIC_SPECIES
Mg 24.30 Mg.upf
Dy 162.50 Dy.upf
In 114.82 In.upf
ATOMIC_POSITIONS crystal
Mg 0.500 0.000 0.698
Mg 0.500 0.500 0.599
Dy 0.000 0.000 0.000
Mg 0.000 0.500 0.106
Mg 0.500 0.500 0.794
Mg 0.500 0.500 0.206
Mg 0.500 0.500 0.000
In 0.000 0.000 0.202
In 0.000 0.000 0.402
Mg 0.000 0.500 0.698
In 0.000 0.000 0.598
Mg 0.000 0.500 0.894
In 0.000 0.000 0.798
Mg 0.500 0.000 0.106
Mg 0.500 0.000 0.894
Mg 0.000 0.500 0.302
Mg 0.000 0.500 0.500
Mg 0.500 0.000 0.302
Mg 0.500 0.500 0.401
Mg 0.500 0.000 0.500
CELL_PARAMETERS angstrom
4.665 0.000 0.000
0.000 4.665 0.000
0.000 0.000 21.389
```

Sm14HoEr: relaxed, PBE. Values from VASP.

**V**: 533.92 Å³/cell
**Density of states at the Fermi level**: 23.31 states/eV/cell
**Crystal system**: tetragonal
**E_form**: 1.53 kJ per mole of atoms
**Symmetry**: P4/mmm (123)

Cell and atoms, written as Quantum ESPRESSO input:
```
&SYSTEM
  ibrav = 0, nat = 16, ntyp = 3
/
ATOMIC_SPECIES
Sm 150.36 Sm.upf
Ho 164.93 Ho.upf
Er 167.26 Er.upf
ATOMIC_POSITIONS crystal
Sm 0.125 0.375 0.752
Sm 0.125 0.875 0.248
Ho 0.875 0.125 0.000
Sm 0.625 0.875 0.752
Sm 0.875 0.125 0.500
Sm 0.875 0.625 0.000
Sm 0.125 0.875 0.752
Sm 0.375 0.125 0.000
Sm 0.375 0.125 0.500
Sm 0.625 0.375 0.752
Sm 0.625 0.875 0.248
Sm 0.125 0.375 0.248
Er 0.375 0.625 0.000
Sm 0.625 0.375 0.248
Sm 0.875 0.625 0.500
Sm 0.375 0.625 0.500
CELL_PARAMETERS angstrom
7.170 0.962 0.000
-0.962 7.170 0.000
0.000 0.000 10.202
```

Sc3AgN: relaxed, PBE. Values from VASP.

**V**: 189.41 Å³/cell
**Density of states at the Fermi level**: 6.94 states/eV/cell
**Crystal system**: monoclinic
**Symmetry**: P2_1/m (11)
**Distance to the lowest polymorph of the same formula**: 215 meV/atom
**Formation energy from raw total energies**: -0.704 eV/atom

Cell and atoms, written as Quantum ESPRESSO input:
```
&SYSTEM
  ibrav = 0, nat = 10, ntyp = 3
/
ATOMIC_SPECIES
Ag 107.87 Ag.upf
Sc 44.96 Sc.upf
N 14.01 N.upf
ATOMIC_POSITIONS crystal
Ag 0.693 0.250 0.625
Sc 0.777 0.750 0.634
N 0.956 0.750 0.929
Sc 0.757 0.501 0.140
Sc 0.757 0.999 0.140
Sc 0.223 0.250 0.366
N 0.044 0.250 0.071
Ag 0.307 0.750 0.375
Sc 0.243 0.499 0.860
Sc 0.243 0.001 0.860
CELL_PARAMETERS angstrom
-0.981 -5.067 1.427
5.220 -1.687 -2.403
2.600 0.495 5.301
```

RbYScF2: relaxed, PBE. Values from VASP.

**V**: 146.27 Å³/cell
**Density of states at the Fermi level**: 5.23 states/eV/cell
**Crystal system**: tetragonal
**Symmetry**: P4/mmm (123)
**Formation energy from raw total energies**: -0.625 eV/atom

Cell and atoms, written as Quantum ESPRESSO input:
```
&SYSTEM
  ibrav = 0, nat = 5, ntyp = 4
/
ATOMIC_SPECIES
Rb 85.47 Rb.upf
F 19.00 F.upf
Y 88.91 Y.upf
Sc 44.96 Sc.upf
ATOMIC_POSITIONS crystal
Rb 0.000 0.000 0.000
F 0.500 0.000 0.000
Y 0.500 0.500 0.500
Sc 0.000 0.500 0.000
F 0.000 0.000 0.500
CELL_PARAMETERS angstrom
-4.247 -2.355 0.562
2.404 -4.968 -2.648
1.475 -1.616 4.371
```

Sr3TmRh8: relaxed, PBE. Values from VASP.

**V**: 227.42 Å³/cell
**Density of states at the Fermi level**: 13.39 states/eV/cell
**Crystal system**: trigonal
**E_form**: -37.12 kJ per mole of atoms
**Symmetry**: R3m (160)

Cell and atoms, written as Quantum ESPRESSO input:
```
&SYSTEM
  ibrav = 0, nat = 12, ntyp = 3
/
ATOMIC_SPECIES
Tm 168.93 Tm.upf
Sr 87.62 Sr.upf
Rh 102.91 Rh.upf
ATOMIC_POSITIONS crystal
Tm 0.875 0.875 0.375
Sr 0.375 0.375 0.876
Rh 0.444 0.938 0.680
Rh 0.938 0.444 0.680
Rh 0.436 0.436 0.195
Rh 0.436 0.932 0.195
Rh 0.188 0.188 0.437
Rh 0.932 0.436 0.195
Sr 0.499 0.499 0.504
Sr 0.001 0.001 0.997
Rh 0.688 0.688 0.937
Rh 0.938 0.938 0.680
CELL_PARAMETERS angstrom
5.202 0.000 1.570
2.364 4.634 1.570
-0.009 -0.005 9.431
```

Pm6B2CBr3: relaxed, PBE. Values from VASP.

**V**: 293.09 Å³/cell
**Density of states at the Fermi level**: 4.92 states/eV/cell
**Crystal system**: monoclinic
**Symmetry**: C2/m (12)
**Formation energy from raw total energies**: -0.797 eV/atom

Cell and atoms, written as Quantum ESPRESSO input:
```
&SYSTEM
  ibrav = 0, nat = 12, ntyp = 4
/
ATOMIC_SPECIES
B 10.81 B.upf
Pm 145.00 Pm.upf
Br 79.90 Br.upf
C 12.01 C.upf
ATOMIC_POSITIONS crystal
B 0.667 0.333 0.000
Pm 0.264 0.264 0.811
Br 0.168 0.832 0.500
Pm 0.736 0.736 0.189
Pm 0.389 0.063 0.188
Pm 0.937 0.611 0.812
Br 0.832 0.168 0.500
Pm 0.611 0.937 0.812
Br 0.500 0.500 0.500
B 0.333 0.667 0.000
Pm 0.063 0.389 0.188
C 0.000 0.000 0.000
CELL_PARAMETERS angstrom
-4.639 3.086 -3.892
-1.853 -2.846 5.887
3.461 6.244 2.802
```

Ho4Cu2Pt: relaxed, PBE. Values from VASP.

**V**: 163.20 Å³/cell
**Density of states at the Fermi level**: 6.97 states/eV/cell
**Crystal system**: trigonal
**E_form**: -42.78 kJ per mole of atoms
**Symmetry**: R-3m (166)
**Distance to the lowest polymorph of the same formula**: 32 meV/atom

Cell and atoms, written as Quantum ESPRESSO input:
```
&SYSTEM
  ibrav = 0, nat = 7, ntyp = 3
/
ATOMIC_SPECIES
Ho 164.93 Ho.upf
Pt 195.08 Pt.upf
Cu 63.55 Cu.upf
ATOMIC_POSITIONS crystal
Ho 0.875 0.875 0.376
Pt 0.000 0.000 0.000
Ho 0.125 0.125 0.624
Cu 0.247 0.247 0.258
Cu 0.753 0.753 0.742
Ho 0.376 0.376 0.873
Ho 0.624 0.624 0.127
CELL_PARAMETERS angstrom
4.645 0.000 1.451
2.096 4.145 1.451
-0.087 -0.054 8.439
```

SmHo4Tm: relaxed, PBE. Values from VASP.

**V**: 197.64 Å³/cell
**Density of states at the Fermi level**: 10.15 states/eV/cell
**Crystal system**: cubic
**E_form**: 26.27 kJ per mole of atoms
**Symmetry**: F-43m (216)
**Distance to the lowest polymorph of the same formula**: 270 meV/atom

Cell and atoms, written as Quantum ESPRESSO input:
```
&SYSTEM
  ibrav = 0, nat = 6, ntyp = 3
/
ATOMIC_SPECIES
Sm 150.36 Sm.upf
Ho 164.93 Ho.upf
Tm 168.93 Tm.upf
ATOMIC_POSITIONS crystal
Sm 0.250 0.250 0.250
Ho 0.625 0.125 0.625
Ho 0.625 0.625 0.625
Tm 0.000 0.000 0.000
Ho 0.625 0.625 0.125
Ho 0.125 0.625 0.625
CELL_PARAMETERS angstrom
6.538 0.000 0.000
3.269 5.662 0.000
3.269 1.887 5.339
```

AcPm3Co: relaxed, PBE. Values from VASP.

**V**: 166.92 Å³/cell
**Density of states at the Fermi level**: 9.40 states/eV/cell
**Crystal system**: cubic
**E_form**: 4.05 kJ per mole of atoms
**Symmetry**: Pm-3m (221)
**Distance to the lowest polymorph of the same formula**: 87 meV/atom

Cell and atoms, written as Quantum ESPRESSO input:
```
&SYSTEM
  ibrav = 0, nat = 5, ntyp = 3
/
ATOMIC_SPECIES
Pm 145.00 Pm.upf
Co 58.93 Co.upf
Ac 227.00 Ac.upf
ATOMIC_POSITIONS crystal
Pm 0.000 0.000 0.500
Co 0.000 0.000 0.000
Pm 0.000 0.500 0.000
Ac 0.500 0.500 0.500
Pm 0.500 0.000 0.000
CELL_PARAMETERS angstrom
-1.320 -1.343 -5.174
-1.823 -4.897 1.736
-5.025 2.130 0.729
```

| no. | density (g/cm³) | final energy (eV/atom) |
| --- | --- | --- |
| 1 | 4.335 | -4.545 |
| 2 | 3.995 | -4.575 |
| 3 | 4.721 | -3.135 |
| 4 | 3.519 | -2.040 |
| 5 | 7.580 | -4.685 |
| 6 | 4.502 | -6.739 |
| 7 | 2.921 | -4.127 |
| 8 | 9.164 | -6.079 |
| 9 | 6.478 | -5.472 |
| 10 | 9.991 | -5.093 |
| 11 | 8.225 | -4.311 |
| 12 | 7.172 | -5.051 |